No. 1
# LaSbMo2 PBE-GGA relaxed
data_LaSbMo2
_space_group_name_H-M_alt 'F -4 3 m'
_space_group_IT_number 216
_space_group_name_Hall 'F -4 2 3'
_cell_length_a 6.9694
_cell_length_b 6.9694
_cell_length_c 6.9694
_cell_angle_alpha 90.00
_cell_angle_beta 90.00
_cell_angle_gamma 90.00
loop_
_atom_site_label
_atom_site_type_symbol
_atom_site_fract_x
_atom_site_fract_y
_atom_site_fract_z
La1 La 0.0000 0.0000 0.0000
Sb1 Sb 0.2500 0.2500 0.2500
Mo1 Mo 0.0000 0.0000 0.5000
Mo2 Mo 0.2500 0.2500 0.7500
# - Formation energy without anion corrections: 0.423 eV per atom

---

No. 2
# LaSbMo2 PBE-GGA relaxed
data_LaSbMo2
_space_group_name_H-M_alt 'R 3 m'
_space_group_IT_number 160
_space_group_name_Hall 'R 3 -2"'
_cell_length_a 3.3199
_cell_length_b 3.3199
_cell_length_c 27.8900
_cell_angle_alpha 90.00
_cell_angle_beta 90.00
_cell_angle_gamma 120.00
loop_
_atom_site_label
_atom_site_type_symbol
_atom_site_fract_x
_atom_site_fract_y
_atom_site_fract_z
La1 La 0.0000 0.0000 0.0000
Sb1 Sb 0.0000 0.0000 0.2280
Mo1 Mo 0.0000 0.0000 0.4837
Mo2 Mo 0.0000 0.0000 0.7552
# - Formation energy without anion corrections: 0.276 eV per atom

---

No. 3
# La2SbMo PBE-GGA relaxed
data_La2SbMo
_space_group_name_H-M_alt 'I m m 2'
_space_group_IT_number 44
_cell_length_a 3.7477
_cell_length_b 4.9846
_cell_length_c 11.6618
_cell_angle_alpha 90.00
_cell_angle_beta 90.00
_cell_angle_gamma 90.00
loop_
_space_group_symop_operation_xyz
'x,y,z'
'-x,-y,z'
'-x,y,z'
'x,-y,z'
'x+1/2,y+1/2,z+1/2'
'-x+1/2,-y+1/2,z+1/2'
'-x+1/2,y+1/2,z+1/2'
'x+1/2,-y+1/2,z+1/2'
loop_
_atom_site_label
_atom_site_type_symbol
_atom_site_fract_x
_atom_site_fract_y
_atom_site_fract_z
La1 La 0.0000 0.0000 0.0000
La2 La 0.0000 0.5000 0.2171
Sb1 Sb 0.0000 0.0000 0.4164
Mo1 Mo 0.0000 0.5000 0.7432
# - Formation energy without anion corrections: -0.142 eV per atom

---

No. 4
# La2SbMo PBE-GGA relaxed
data_La2SbMo
_space_group_name_H-M_alt 'C m m m'
_space_group_IT_number 65
_space_group_name_Hall '-C 2 2'
_cell_length_a 6.4733
_cell_length_b 8.6237
_cell_length_c 3.7795
_cell_angle_alpha 90.00
_cell_angle_beta 90.00
_cell_angle_gamma 90.00
loop_
_atom_site_label
_atom_site_type_symbol
_atom_site_fract_x
_atom_site_fract_y
_atom_site_fract_z
La1 La 0.2500 0.2500 0.0000
Sb1 Sb 0.0000 0.0000 0.5000
Mo1 Mo 0.0000 0.5000 0.5000
# - Formation energy without anion corrections: -0.081 eV per atom

---

No. 5
# LaSbMo PBE-GGA relaxed
data_LaSbMo
_space_group_name_H-M_alt 'P -6 m 2'
_space_group_IT_number 187
_space_group_name_Hall 'P -6 2'
_cell_length_a 4.6844
_cell_length_b 4.6844
_cell_length_c 4.1077
_cell_angle_alpha 90.00
_cell_angle_beta 90.00
_cell_angle_gamma 120.00
loop_
_atom_site_label
_atom_site_type_symbol
_atom_site_fract_x
_atom_site_fract_y
_atom_site_fract_z
La1 La 0.0000 0.0000 0.0000
Sb1 Sb 0.6667 0.3333 0.5000
Mo1 Mo 0.3333 0.6667 0.5000
# - Formation energy without anion corrections: -0.056 eV per atom

---

No. 6
# La2SbMo PBE-GGA relaxed
data_La2SbMo
_space_group_name_H-M_alt 'R 3 m'
_space_group_IT_number 160
_space_group_name_Hall 'R 3 -2"'
_cell_length_a 3.6812
_cell_length_b 3.6812
_cell_length_c 28.1740
_cell_angle_alpha 90.00
_cell_angle_beta 90.00
_cell_angle_gamma 120.00
loop_
_atom_site_label
_atom_site_type_symbol
_atom_site_fract_x
_atom_site_fract_y
_atom_site_fract_z
La1 La 0.0000 0.0000 0.0000
La2 La 0.0000 0.0000 0.2292
Sb1 Sb 0.0000 0.0000 0.7560
Mo1 Mo 0.0000 0.0000 0.4825
# - Formation energy without anion corrections: 0.154 eV per atom

---

No. 7
# LaSbMo2 PBE-GGA relaxed
data_LaSbMo2
_space_group_name_H-M_alt 'P 4 m m'
_space_group_IT_number 99
_cell_length_a 3.3154
_cell_length_b 3.3154
_cell_length_c 7.8900
_cell_angle_alpha 90.00
_cell_angle_beta 90.00
_cell_angle_gamma 90.00
loop_
_space_group_symop_operation_xyz
'x,y,z'
'-y,x,z'
'-x,-y,z'
'y,-x,z'
'-x,y,z'
'y,x,z'
'x,-y,z'
'-y,-x,z'
loop_
_atom_site_label
_atom_site_type_symbol
_atom_site_fract_x
_atom_site_fract_y
_atom_site_fract_z
La1 La 0.0000 0.0000 0.0000
Sb1 Sb 0.5000 0.5000 0.6687
Mo1 Mo 0.0000 0.0000 0.4502
Mo2 Mo 0.5000 0.5000 0.2790
# - Formation energy without anion corrections: -0.008 eV per atom

---

No. 8
# LaTaSb2Mo PBE-GGA relaxed
data_LaTaSb2Mo
_space_group_name_H-M_alt 'P 4/m m m'
_space_group_IT_number 123
_space_group_name_Hall '-P 4 2'
_cell_length_a 5.2897
_cell_length_b 5.2897
_cell_length_c 4.8774
_cell_angle_alpha 90.00
_cell_angle_beta 90.00
_cell_angle_gamma 90.00
loop_
_atom_site_label
_atom_site_type_symbol
_atom_site_fract_x
_atom_site_fract_y
_atom_site_fract_z
La1 La 0.0000 0.0000 0.0000
Ta1 Ta 0.5000 0.5000 0.0000
Sb1 Sb 0.0000 0.5000 0.5000
Mo1 Mo 0.5000 0.5000 0.5000
# - Formation energy without anion corrections: 0.415 eV per atom

---

No. 9
# LaTcSb2Mo PBE-GGA relaxed
data_LaTcSb2Mo
_space_group_name_H-M_alt 'P 4/m m m'
_space_group_IT_number 123
_space_group_name_Hall '-P 4 2'
_cell_length_a 5.2984
_cell_length_b 5.2984
_cell_length_c 4.6907
_cell_angle_alpha 90.00
_cell_angle_beta 90.00
_cell_angle_gamma 90.00
loop_
_atom_site_label
_atom_site_type_symbol
_atom_site_fract_x
_atom_site_fract_y
_atom_site_fract_z
La1 La 0.0000 0.0000 0.0000
Tc1 Tc 0.5000 0.5000 0.0000
Sb1 Sb 0.0000 0.5000 0.5000
Mo1 Mo 0.5000 0.5000 0.5000
# - Formation energy without anion corrections: 0.370 eV per atom

---

No. 10
# LaSc2Mo2 PBE-GGA relaxed
data_LaSc2Mo2
_space_group_name_H-M_alt 'P 4/m b m'
_space_group_IT_number 127
_space_group_name_Hall '-P 4 2ab'
_cell_length_a 8.1685
_cell_length_b 8.1685
_cell_length_c 3.3719
_cell_angle_alpha 90.00
_cell_angle_beta 90.00
_cell_angle_gamma 90.00
loop_
_atom_site_label
_atom_site_type_symbol
_atom_site_fract_x
_atom_site_fract_y
_atom_site_fract_z
La1 La 0.0000 0.0000 0.0000
Sc1 Sc 0.1844 0.3156 0.5000
Mo1 Mo 0.1009 0.6009 0.0000
# - Formation enthalpy at 0 K: 6.270 kcal/mol of atoms

---

No. 11
# LaSc2Mo PBE-GGA relaxed
data_LaSc2Mo
_space_group_name_H-M_alt 'I 41/a m d'
_space_group_IT_number 141
_cell_length_a 6.2539
_cell_length_b 6.2539
_cell_length_c 13.9862
_cell_angle_alpha 90.00
_cell_angle_beta 90.00
_cell_angle_gamma 90.00
loop_
_space_group_symop_operation_xyz
'x,y,z'
'-x,-y,-z'
'-y+1/4,x+3/4,z+1/4'
'y+1/4,-x+3/4,-z+1/4'
'-x+1/2,-y,z+1/2'
'x+1/2,y,-z+1/2'
'y+1/4,-x+1/4,z+3/4'
'-y+1/4,x+1/4,-z+3/4'
'x,-y,-z'
'-x,y,z'
'-y+1/4,-x+1/4,-z+3/4'
'y+1/4,x+1/4,z+3/4'
'-x+1/2,y,-z+1/2'
'x+1/2,-y,z+1/2'
'y+1/4,x+3/4,-z+1/4'
'-y+1/4,-x+3/4,z+1/4'
'x+1/2,y+1/2,z+1/2'
'-x+1/2,-y+1/2,-z+1/2'
'-y+3/4,x+1/4,z+3/4'
'y+3/4,-x+1/4,-z+3/4'
'-x,-y+1/2,z'
'x,y+1/2,-z'
'y+3/4,-x+3/4,z+1/4'
'-y+3/4,x+3/4,-z+1/4'
'x+1/2,-y+1/2,-z+1/2'
'-x+1/2,y+1/2,z+1/2'
'-y+3/4,-x+3/4,-z+1/4'
'y+3/4,x+3/4,z+1/4'
'-x,y+1/2,-z'
'x,-y+1/2,z'
'y+3/4,x+1/4,-z+3/4'
'-y+3/4,-x+1/4,z+3/4'
loop_
_atom_site_label
_atom_site_type_symbol
_atom_site_fract_x
_atom_site_fract_y
_atom_site_fract_z
La1 La 0.0000 0.2500 0.3750
Sc1 Sc 0.0000 0.0000 0.0000
Mo1 Mo 0.0000 0.2500 0.8750
# - Formation enthalpy at 0 K: 26.123 kcal/mol of atoms

---

No. 12
# LaSc4Mo PBE-GGA relaxed
data_LaSc4Mo
_space_group_name_H-M_alt 'F -4 3 m'
_space_group_IT_number 216
_space_group_name_Hall 'F -4 2 3'
_cell_length_a 8.2983
_cell_length_b 8.2983
_cell_length_c 8.2983
_cell_angle_alpha 90.00
_cell_angle_beta 90.00
_cell_angle_gamma 90.00
loop_
_atom_site_label
_atom_site_type_symbol
_atom_site_fract_x
_atom_site_fract_y
_atom_site_fract_z
La1 La 0.0000 0.0000 0.0000
Sc1 Sc 0.1225 0.1225 0.3775
Mo1 Mo 0.2500 0.2500 0.7500
# - Formation enthalpy at 0 K: 13.155 kcal/mol of atoms

---

No. 13
# LaSc2Mo PBE-GGA relaxed
data_LaSc2Mo
_space_group_name_H-M_alt 'C m m m'
_space_group_IT_number 65
_space_group_name_Hall '-C 2 2'
_cell_length_a 3.5442
_cell_length_b 5.2115
_cell_length_c 10.3473
_cell_angle_alpha 90.00
_cell_angle_beta 90.00
_cell_angle_gamma 90.00
loop_
_atom_site_label
_atom_site_type_symbol
_atom_site_fract_x
_atom_site_fract_y
_atom_site_fract_z
La1 La 0.0000 0.0000 0.0000
Sc1 Sc 0.0000 0.5000 0.3024
Mo1 Mo 0.0000 0.0000 0.5000
# - Formation enthalpy at 0 K: 4.885 kcal/mol of atoms

---

No. 14
# LaScMo2 PBE-GGA relaxed
data_LaScMo2
_space_group_name_H-M_alt 'C 1 2/m 1'
_space_group_IT_number 12
_cell_length_a 6.0466
_cell_length_b 9.2662
_cell_length_c 3.0506
_cell_angle_alpha 90.00
_cell_angle_beta 111.48
_cell_angle_gamma 90.00
loop_
_space_group_symop_operation_xyz
'x,y,z'
'-x,-y,-z'
'-x,y,-z'
'x,-y,z'
'x+1/2,y+1/2,z'
'-x+1/2,-y+1/2,-z'
'-x+1/2,y+1/2,-z'
'x+1/2,-y+1/2,z'
loop_
_atom_site_label
_atom_site_type_symbol
_atom_site_fract_x
_atom_site_fract_y
_atom_site_fract_z
La1 La 0.0000 0.0000 0.0000
Sc1 Sc 0.0000 0.5000 0.0000
Mo1 Mo 0.2500 0.2500 0.5000
# - Formation enthalpy at 0 K: 12.124 kcal/mol of atoms

---

No. 15
# LaSc2Mo PBE-GGA relaxed
data_LaSc2Mo
_space_group_name_H-M_alt 'C m m 2'
_space_group_IT_number 35
_cell_length_a 3.6151
_cell_length_b 5.2536
_cell_length_c 10.0964
_cell_angle_alpha 90.00
_cell_angle_beta 90.00
_cell_angle_gamma 90.00
loop_
_space_group_symop_operation_xyz
'x,y,z'
'-x,-y,z'
'-x,y,z'
'x,-y,z'
'x+1/2,y+1/2,z'
'-x+1/2,-y+1/2,z'
'-x+1/2,y+1/2,z'
'x+1/2,-y+1/2,z'
loop_
_atom_site_label
_atom_site_type_symbol
_atom_site_fract_x
_atom_site_fract_y
_atom_site_fract_z
La1 La 0.0000 0.0000 0.0000
Sc1 Sc 0.0000 0.0000 0.4243
Sc2 Sc 0.0000 0.5000 0.6860
Mo1 Mo 0.0000 0.5000 0.2194
# - Formation enthalpy at 0 K: 7.340 kcal/mol of atoms